(1)
The following is a PBE-GGA calculation of a geometry-optimized Er2Ga8Ru structure, from Alexandria.

Computed properties:
- magnetic moment (μB per formula unit) = 0.00
- space-group type = P4/mmm
- DOS at the Fermi energy (states/eV/cell) = 4.170
- calculated formation energy (meV/atom) = -489.0

a b c (Å): 4.268 4.268 11.211
angles (deg): 90.00 90.00 90.00
Sites, in units of the cell vectors:
Er 0.000 0.000 0.191
Er 0.000 0.000 0.809
Ga 0.000 0.500 0.000
Ga 0.000 0.500 0.378
Ga 0.000 0.500 0.622
Ga 0.500 0.000 0.000
Ga 0.500 0.000 0.378
Ga 0.500 0.000 0.622
Ga 0.500 0.500 0.191
Ga 0.500 0.500 0.809
Ru 0.000 0.000 0.500

***

(2)
The following is a PBE-GGA calculation of a geometry-optimized Er2Ga2Ru structure, from Alexandria.

Computed properties:
- magnetic moment (μB per formula unit) = 0.00
- space-group type = Cmc2_1
- energy above the lowest structure with this stoichiometry (meV per atom) = 181
- DOS at the Fermi energy (states/eV/cell) = 7.271
- calculated formation energy (meV/atom) = -416.2

a b c (Å): 7.177 7.177 7.382
angles (deg): 90.00 90.00 144.03
Sites, in units of the cell vectors:
Er 0.024 0.976 0.500
Er 0.239 0.761 0.856
Er 0.761 0.239 0.356
Er 0.976 0.024 0.000
Ga 0.161 0.839 0.206
Ga 0.415 0.585 0.285
Ga 0.585 0.415 0.785
Ga 0.839 0.161 0.706
Ru 0.411 0.589 0.639
Ru 0.589 0.411 0.139

***

(3)
The following is a PBE-GGA calculation of a geometry-optimized Er3Ga4Ru2 structure, from Alexandria.

Computed properties:
- magnetic moment (μB per formula unit) = 0.00
- space-group type = C2/m
- energy above the lowest structure with this stoichiometry (meV per atom) = 24
- DOS at the Fermi energy (states/eV/cell) = 4.556
- calculated formation energy (meV/atom) = -562.9

a b c (Å): 5.562 5.562 8.258
angles (deg): 103.82 103.82 45.97
Sites, in units of the cell vectors:
Er 0.000 0.000 0.000
Er 0.382 0.382 0.623
Er 0.618 0.618 0.377
Ga 0.095 0.095 0.649
Ga 0.301 0.301 0.942
Ga 0.699 0.699 0.058
Ga 0.905 0.905 0.351
Ru 0.284 0.284 0.243
Ru 0.716 0.716 0.757

***

(4)
The following is a PBE-GGA calculation of a geometry-optimized Er6Ga3Ru structure, from Alexandria.

Computed properties:
- magnetic moment (μB per formula unit) = 0.00
- space-group type = Pnnm
- DOS at the Fermi energy (states/eV/cell) = 10.334
- calculated formation energy (meV/atom) = -418.3

a b c (Å): 8.585 11.291 4.976
angles (deg): 90.00 90.00 90.00
Sites, in units of the cell vectors:
Er 0.002 0.245 0.000
Er 0.158 0.086 0.500
Er 0.179 0.418 0.500
Er 0.321 0.918 0.000
Er 0.342 0.586 0.000
Er 0.498 0.745 0.500
Er 0.502 0.255 0.500
Er 0.658 0.414 0.000
Er 0.679 0.082 0.000
Er 0.821 0.582 0.500
Er 0.842 0.914 0.500
Er 0.998 0.755 0.000
Ga 0.000 0.500 0.000
Ga 0.165 0.744 0.500
Ga 0.335 0.244 0.000
Ga 0.500 0.000 0.500
Ga 0.665 0.756 0.000
Ga 0.835 0.256 0.500
Ru 0.000 0.000 0.000
Ru 0.500 0.500 0.500

***

(5)
The following is a PBE-GGA calculation of a geometry-optimized Er5Ga4Ru structure, from Alexandria.

Computed properties:
- magnetic moment (μB per formula unit) = 0.00
- space-group type = P4/mmm
- DOS at the Fermi energy (states/eV/cell) = 4.383
- calculated formation energy (meV/atom) = -573.9

a b c (Å): 3.492 3.492 17.735
angles (deg): 90.00 90.00 90.00
Sites, in units of the cell vectors:
Er 0.000 0.000 0.000
Er 0.000 0.000 0.204
Er 0.000 0.000 0.409
Er 0.000 0.000 0.591
Er 0.000 0.000 0.796
Ga 0.500 0.500 0.102
Ga 0.500 0.500 0.305
Ga 0.500 0.500 0.695
Ga 0.500 0.500 0.898
Ru 0.500 0.500 0.500

***

(6)
The following is a PBE-GGA calculation of a geometry-optimized Er3Ga4Ru structure, from Alexandria.

Computed properties:
- magnetic moment (μB per formula unit) = 0.00
- space-group type = Immm
- DOS at the Fermi energy (states/eV/cell) = 6.754
- calculated formation energy (meV/atom) = -332.4

a b c (Å): 3.512 5.934 16.631
angles (deg): 90.00 90.00 90.00
Sites, in units of the cell vectors:
Er 0.000 0.000 0.000
Er 0.000 0.500 0.224
Er 0.000 0.500 0.776
Er 0.500 0.000 0.276
Er 0.500 0.000 0.724
Er 0.500 0.500 0.500
Ga 0.000 0.263 0.382
Ga 0.000 0.263 0.618
Ga 0.000 0.737 0.382
Ga 0.000 0.737 0.618
Ga 0.500 0.237 0.118
Ga 0.500 0.237 0.882
Ga 0.500 0.763 0.118
Ga 0.500 0.763 0.882
Ru 0.000 0.000 0.500
Ru 0.500 0.500 0.000

***

(7)
The following is a PBE-GGA calculation of a geometry-optimized Er6GaRu structure, from Alexandria.

Computed properties:
- magnetic moment (μB per formula unit) = 0.00
- space-group type = C2/m
- DOS at the Fermi energy (states/eV/cell) = 18.456
- calculated formation energy (meV/atom) = -102.0

a b c (Å): 6.712 11.273 6.600
angles (deg): 90.00 113.52 90.00
Sites, in units of the cell vectors:
Er 0.238 0.188 0.245
Er 0.238 0.812 0.245
Er 0.239 0.000 0.762
Er 0.261 0.500 0.238
Er 0.262 0.312 0.755
Er 0.262 0.688 0.755
Er 0.738 0.312 0.245
Er 0.738 0.688 0.245
Er 0.739 0.500 0.762
Er 0.761 0.000 0.238
Er 0.762 0.188 0.755
Er 0.762 0.812 0.755
Ga 0.000 0.500 0.500
Ga 0.500 0.000 0.500
Ru 0.000 0.000 0.000
Ru 0.500 0.500 0.000

***

(8)
The following is a PBE-GGA calculation of a geometry-optimized ErGaRu2 structure, from Alexandria.

Computed properties:
- magnetic moment (μB per formula unit) = 0.22
- space-group type = Pmma
- DOS at the Fermi energy (states/eV/cell) = 16.496
- calculated formation energy (meV/atom) = 238.4

a b c (Å): 5.502 6.612 9.119
angles (deg): 90.00 90.00 90.00
Sites, in units of the cell vectors:
Er 0.250 0.000 0.096
Er 0.250 0.500 0.276
Er 0.750 0.000 0.904
Er 0.750 0.500 0.724
Ga 0.250 0.000 0.752
Ga 0.250 0.500 0.784
Ga 0.750 0.000 0.248
Ga 0.750 0.500 0.216
Ru 0.000 0.000 0.500
Ru 0.000 0.500 0.000
Ru 0.250 0.314 0.546
Ru 0.250 0.686 0.546
Ru 0.500 0.000 0.500
Ru 0.500 0.500 0.000
Ru 0.750 0.314 0.454
Ru 0.750 0.686 0.454

***

(9)
The following is a PBE-GGA calculation of a geometry-optimized ErGa3Ru3 structure, from Alexandria.

Computed properties:
- magnetic moment (μB per formula unit) = 0.00
- space-group type = Pm-3n
- DOS at the Fermi energy (states/eV/cell) = 10.950
- calculated formation energy (meV/atom) = 366.9

a b c (Å): 6.672 6.672 6.672
angles (deg): 90.00 90.00 90.00
Sites, in units of the cell vectors:
Er 0.000 0.000 0.000
Er 0.500 0.500 0.500
Ga 0.000 0.250 0.500
Ga 0.000 0.750 0.500
Ga 0.250 0.500 0.000
Ga 0.500 0.000 0.250
Ga 0.500 0.000 0.750
Ga 0.750 0.500 0.000
Ru 0.000 0.500 0.250
Ru 0.000 0.500 0.750
Ru 0.250 0.000 0.500
Ru 0.500 0.250 0.000
Ru 0.500 0.750 0.000
Ru 0.750 0.000 0.500

***

(10)
The following is a PBE-GGA calculation of a geometry-optimized ErGa3Ru structure, from Alexandria.

Computed properties:
- magnetic moment (μB per formula unit) = 0.00
- space-group type = Pm-3m
- energy above the lowest structure with this stoichiometry (meV per atom) = 0
- DOS at the Fermi energy (states/eV/cell) = 5.287
- calculated formation energy (meV/atom) = -584.2

a b c (Å): 6.401 6.401 6.401
angles (deg): 90.00 90.00 90.00
Sites, in units of the cell vectors:
Er 0.000 0.000 0.500
Er 0.000 0.500 0.000
Er 0.500 0.000 0.000
Ga 0.000 0.000 0.000
Ga 0.287 0.287 0.287
Ga 0.287 0.287 0.713
Ga 0.287 0.713 0.287
Ga 0.287 0.713 0.713
Ga 0.713 0.287 0.287
Ga 0.713 0.287 0.713
Ga 0.713 0.713 0.287
Ga 0.713 0.713 0.713
Ru 0.000 0.500 0.500
Ru 0.500 0.000 0.500
Ru 0.500 0.500 0.000

***

Question: What is the formula in the third record?
Answer: Er3Ga4Ru2

***

Question: The lowest DOS at the Fermi energy belongs to which entry?
Answer: Er2Ga8Ru

***

Question: Look up the calculated formation energy of the sixth one.
Answer: -332.4 meV/atom

***

Question: What is the magnetic moment in the eighth record?
Answer: 0.22 μB per formula unit